A relaxed Cu2SbSe4 crystal. Source: the Alexandria database, functional PBE.

- Spin magnetization: 0.000 μB/f.u.
- Polymorph energy (0 for the lowest one): 0.017 eV/f.u.

Lattice parameters (Å, degrees): 5.657 5.657 5.434 90.00 90.00 90.00
Positions (direct):
Cu  0.000  0.500  0.000
Cu  0.500  0.000  0.000
Sb  0.000  0.000  0.500
Se  0.274  0.274  0.755
Se  0.274  0.726  0.245
Se  0.726  0.274  0.245
Se  0.726  0.726  0.755

---

A relaxed CuSb2Se crystal. Source: the Alexandria database, functional PBE.

- Spin magnetization: 0.000 μB/f.u.

Lattice parameters (Å, degrees): 3.529 3.529 6.983 90.00 90.00 90.00
Positions (direct):
Cu  0.000  0.000  0.000
Sb  0.000  0.000  0.540
Sb  0.500  0.500  0.211
Se  0.500  0.500  0.793

---

Raw formation energy values, unit eV per atom, following the record order: -0.1048 0.2485.
D(E_F) values, unit states/eV per cell, following the record order: 6.3 1.4.